First-principles (GGA-PBE) data for a relaxed CrFeSb2Ir crystal, as listed in the Alexandria database.

Lattice parameters (Å, degrees): 4.7768 4.7768 4.4921 90.00 90.00 90.00
Closest atoms and distances in Å follow each position.
Space group P4/mmm (No. 123)
Symmetry-distinct sites (fractional):
Cr (0.0000, 0.0000, 0.0000)  8 Sb 3.28, 4 Ir 3.38
Fe (0.5000, 0.5000, 0.5000)  2 Ir 2.25, 4 Sb 2.39
Sb (0.0000, 0.5000, 0.5000)  2 Fe 2.39
Ir (0.5000, 0.5000, 0.0000)  2 Fe 2.25

Volume (Å³/atom): 20.50
ΔE_f (raw) (eV/atom): 1.280
E (eV/cell): -28.79
Crystal system: tetragonal